Record 1
SrCoRh2 (PBE, relaxed); total magnetic moment = 2.51 μB per cell; D(E_F) = 5.2 states/eV/f.u.; E_form = 0.4582 eV/atom
1.0
2.845 -4.613 0.000
2.845 4.613 0.000
-1.199 0.000 2.610
Sr Co Rh
1 1 2
direct
0.000 0.000 0.000
0.500 0.500 0.000
0.000 0.500 0.500
0.500 0.000 0.500

Record 2
Sr4CoRh (PBE, relaxed); total magnetic moment = 0.52 μB per cell; D(E_F) = 11.1 states/eV/f.u.; E_form = 1.1877 eV/atom
1.0
0.000 4.669 4.669
4.669 0.000 4.669
4.669 4.669 0.000
Sr Co Rh
4 1 1
direct
0.125 0.125 0.125
0.125 0.125 0.624
0.125 0.624 0.125
0.624 0.125 0.125
0.750 0.750 0.750
0.500 0.500 0.500

Record 3
SrCoRh2 (PBE, relaxed); total magnetic moment = 2.53 μB per cell; D(E_F) = 5.0 states/eV/f.u.; E_form = 0.2972 eV/atom
1.0
2.940 0.000 0.000
0.000 4.253 0.000
-1.311 0.000 5.809
Sr Co Rh
1 1 2
direct
0.000 0.000 0.000
0.500 0.000 0.500
0.320 0.500 0.689
0.680 0.500 0.311

Record 4
Sr2CoRh2 (PBE, relaxed); total magnetic moment = 5.01 μB per cell; D(E_F) = 3.6 states/eV/f.u.; E_form = 0.0539 eV/atom
1.0
6.742 0.000 0.000
0.000 6.742 0.000
0.000 0.000 4.775
Sr Co Rh
4 2 4
direct
0.178 0.322 0.000
0.322 0.822 0.000
0.678 0.178 0.000
0.822 0.678 0.000
0.000 0.000 0.500
0.500 0.500 0.500
0.141 0.641 0.500
0.359 0.141 0.500
0.641 0.859 0.500
0.859 0.359 0.500

Record 5
SrCoRh2 (PBE, relaxed); total magnetic moment = 3.45 μB per cell; D(E_F) = 4.1 states/eV/f.u.; E_form = 0.1942 eV/atom
1.0
3.145 0.000 0.000
0.000 3.145 0.000
0.000 0.000 7.194
Sr Co Rh
1 1 2
direct
0.000 0.000 0.000
0.000 0.000 0.500
0.500 0.500 0.313
0.500 0.500 0.687

Record 6
SrCoRh2 (PBE, relaxed); total magnetic moment = 2.44 μB per cell; D(E_F) = 5.3 states/eV/f.u.; E_form = 0.4515 eV/atom
1.0
3.073 0.000 0.000
0.000 4.645 0.000
0.000 0.000 4.842
Sr Co Rh
1 1 2
direct
0.000 0.000 0.000
0.500 0.000 0.500
0.000 0.500 0.500
0.500 0.500 0.000

Record 7
SrCo2Rh (PBE, relaxed); total magnetic moment = 7.25 μB per cell; D(E_F) = 6.9 states/eV/f.u.; E_form = 0.4230 eV/atom
1.0
-2.301 2.301 8.361
2.301 -2.301 8.361
2.301 2.301 -8.361
Sr Co Rh
2 4 2
direct
0.375 0.625 0.750
0.625 0.375 0.250
0.000 0.000 0.000
0.000 0.000 0.500
0.000 0.500 0.000
0.500 0.000 0.500
0.125 0.875 0.250
0.875 0.125 0.750

Record 8
Sr2Co2Rh (PBE, relaxed); total magnetic moment = 5.63 μB per cell; D(E_F) = 4.9 states/eV/f.u.; E_form = 0.2607 eV/atom
1.0
6.654 0.000 0.000
0.000 6.654 0.000
0.000 0.000 4.735
Sr Co Rh
4 4 2
direct
0.187 0.313 0.000
0.313 0.813 0.000
0.687 0.187 0.000
0.813 0.687 0.000
0.119 0.619 0.500
0.381 0.119 0.500
0.619 0.881 0.500
0.881 0.381 0.500
0.000 0.000 0.500
0.500 0.500 0.500